Entry 1:
6
Lattice="-0.0512 -0.3060 -4.5043 -3.7620 1.0877 2.2317 -3.4228 7.8337 -0.4933" Properties=species:S:1:pos:R:3 comment="CeCuAu, optimized geometry, DFT GGA-PBE" delta_e_f_mev_per_atom=-196.7 polymorph_energy_ev_per_fu=0.79 pbc="T T T"
Au -2.3562 1.2907 -0.0609
Au -4.8798 7.3247 -2.7050
Ce -4.4316 3.7161 -0.2021
Ce -2.8044 4.8993 -2.5639
Cu -3.7240 6.6490 -0.4094
Cu -3.5121 1.9664 -2.3565

Entry 2:
3
Lattice="4.5988 0.0000 0.0000 2.2994 3.9827 0.0000 2.2994 1.3276 3.7549" Properties=species:S:1:pos:R:3 comment="CeCuAu, optimized geometry, DFT GGA-PBE" delta_e_f_mev_per_atom=-264.3 polymorph_energy_ev_per_fu=0.59 pbc="T T T"
Au 4.5988 2.6551 1.8775
Cu 2.2994 1.3276 0.9387
Ce 0.0000 0.0000 0.0000

Entry 3:
3
Lattice="-2.3327 -2.1204 1.5149 2.9467 -0.8274 3.3794 -2.9373 3.4710 0.3353" Properties=species:S:1:pos:R:3 comment="CeCuAu, optimized geometry, DFT GGA-PBE" delta_e_f_mev_per_atom=-454.6 polymorph_energy_ev_per_fu=0.02 pbc="T T T"
Au -0.3892 -0.3538 0.2527
Cu -1.3643 1.6852 1.6022
Ce -0.5698 -0.8082 3.3747

Entry 4:
4
Lattice="3.4152 0.0000 0.0000 0.0000 3.4152 0.0000 0.0000 0.0000 6.7777" Properties=species:S:1:pos:R:3 comment="CeCuAu2, optimized geometry, DFT GGA-PBE" delta_e_f_mev_per_atom=-371.0 polymorph_energy_ev_per_fu=0.63 pbc="T T T"
Au 0.0000 0.0000 5.3685
Au 0.0000 0.0000 1.4092
Cu 1.7076 1.7076 0.0000
Ce 1.7076 1.7076 3.3889

Entry 5:
4
Lattice="2.9348 0.0000 0.0000 1.4674 2.5416 0.0000 1.4674 0.8472 10.3844" Properties=species:S:1:pos:R:3 comment="CeCuAu2, optimized geometry, DFT GGA-PBE" delta_e_f_mev_per_atom=111.5 polymorph_energy_ev_per_fu=2.56 pbc="T T T"
Au 1.4674 0.8472 7.3034
Au 4.4022 2.5416 3.0810
Cu 2.9348 1.6944 5.1922
Ce 0.0000 0.0000 0.0000

Entry 6:
28
Lattice="5.0476 0.0000 0.0000 0.0000 8.2527 0.0000 0.0000 0.0000 10.3879" Properties=species:S:1:pos:R:3 comment="CeCu5Au, optimized geometry, DFT GGA-PBE" delta_e_f_mev_per_atom=-224.1 pbc="T T T"
Ce 1.2619 1.9838 9.7188
Ce 3.7857 2.1426 4.5249
Ce 1.2619 6.1102 5.8630
Ce 3.7857 6.2689 0.6690
Cu 1.2619 4.8520 0.1650
Cu 3.7857 7.5271 5.3589
Cu 1.2619 0.7256 5.0290
Cu 3.7857 3.4008 10.2229
Cu 3.7857 2.5956 7.8300
Cu 1.2619 1.5308 2.6361
Cu 3.7857 6.7219 7.7518
Cu 1.2619 5.6572 2.5579
Cu 1.2619 7.8015 1.1017
Cu 3.7857 4.5776 6.2957
Cu 1.2619 3.6752 4.0922
Cu 3.7857 0.4512 9.2862
Cu 5.0408 3.5820 1.9466
Cu 0.0067 0.5443 7.1405
Cu 2.5305 7.7084 3.2474
Cu 2.5170 4.6707 8.4413
Cu 0.0067 4.6707 8.4413
Cu 5.0408 7.7084 3.2474
Cu 2.5170 0.5443 7.1405
Cu 2.5305 3.5820 1.9466
Au 1.2619 7.0999 8.9560
Au 3.7857 5.2792 3.7620
Au 1.2619 2.9735 6.6259
Au 3.7857 1.1528 1.4319

Entry 7:
10
Lattice="4.2353 0.0000 0.0000 0.0000 4.2353 0.0000 0.0000 0.0000 10.1917" Properties=species:S:1:pos:R:3 comment="Ce2Ga3Cu4Au, optimized geometry, DFT GGA-PBE" delta_e_f_mev_per_atom=-356.5 pbc="T T T"
Ce 2.1177 0.0000 2.4776
Ce 0.0000 2.1177 7.7140
Ga 0.0000 0.0000 5.0958
Ga 2.1177 0.0000 8.9370
Ga 0.0000 2.1177 1.2547
Cu 2.1177 2.1177 0.0000
Cu 0.0000 0.0000 0.0000
Cu 2.1177 0.0000 6.5510
Cu 0.0000 2.1177 3.6407
Au 2.1177 2.1177 5.0958

Entry 8:
8
Lattice="4.4322 0.0000 0.0000 2.2161 3.8384 0.0000 2.2161 1.2795 8.6867" Properties=species:S:1:pos:R:3 comment="CeGa4CuAu2, optimized geometry, DFT GGA-PBE" delta_e_f_mev_per_atom=-320.5 pbc="T T T"
Ce 0.0000 0.0000 0.0000
Ga 4.4322 2.5590 7.0330
Ga 6.6484 3.8384 3.3899
Ga 2.2161 1.2795 5.2967
Ga 4.4322 2.5590 1.6537
Cu 4.4322 2.5590 4.3433
Au 6.6483 3.8384 6.3412
Au 2.2161 1.2795 2.3454

Entry 9:
10
Lattice="-1.6158 -0.8289 -3.8628 3.7207 -1.7224 -1.1868 -3.1634 -9.0894 3.2737" Properties=species:S:1:pos:R:3 comment="Ce2Ga4Cu3Au, optimized geometry, DFT GGA-PBE" delta_e_f_mev_per_atom=-444.8 pbc="T T T"
Ce -1.5849 -2.6470 -1.1273
Ce -0.5260 -7.7180 1.8762
Ga 1.0525 -1.2756 -2.5248
Ga 0.0000 0.0000 0.0000
Ga -2.8379 -6.2473 0.1694
Ga 0.7270 -4.1177 0.5795
Cu -1.5817 -4.5447 1.6368
Cu -3.5775 -8.3725 0.9348
Cu 1.4666 -1.9925 -0.1859
Au -0.5292 -5.8203 -0.8879

Entry 10:
12
Lattice="5.9399 0.0000 0.0000 0.0000 5.6192 0.0000 0.0000 -2.8096 7.0250" Properties=species:S:1:pos:R:3 comment="CeGa3CuAu, optimized geometry, DFT GGA-PBE" delta_e_f_mev_per_atom=-212.7 pbc="T T T"
Ce 4.4549 0.0000 4.2296
Ce 1.4850 2.8096 2.7955
Ga 1.4850 0.0000 1.7149
Ga 0.0000 1.5585 0.0000
Ga 2.9699 4.0607 0.0000
Ga 2.9699 1.5585 0.0000
Ga 0.0000 4.0607 0.0000
Ga 4.4549 2.8096 5.3102
Cu 1.4850 2.8096 5.6635
Cu 4.4549 0.0000 1.3616
Au 1.4850 0.0000 4.6734
Au 4.4549 2.8096 2.3517

Entry 11:
8
Lattice="-1.1054 3.9308 -1.2383 -4.0883 1.2126 0.1476 -0.5333 4.7216 8.1128" Properties=species:S:1:pos:R:3 comment="CeGa4Cu2Au, optimized geometry, DFT GGA-PBE" delta_e_f_mev_per_atom=-274.9 pbc="T T T"
Ce 0.0000 0.0000 0.0000
Ga -2.4977 5.8506 6.0990
Ga -4.7608 6.2300 1.9721
Ga -0.9661 3.6350 5.0500
Ga -3.2292 4.0144 0.9231
Cu -4.2925 7.4055 5.2854
Cu -1.4344 2.4596 1.7367
Au -2.8635 4.9325 3.5110

Entry 12:
9
Lattice="-0.0537 -3.9905 2.9690 1.6660 -2.8121 -3.7494 7.0426 1.4336 2.0541" Properties=species:S:1:pos:R:3 comment="CeGa2CuAu5, optimized geometry, DFT GGA-PBE" delta_e_f_mev_per_atom=-159.9 pbc="T T T"
Ce 3.5213 0.7168 1.0270
Ga 1.9293 -3.1727 -0.0626
Ga 6.7257 -2.1963 1.3363
Cu 0.0000 0.0000 0.0000
Au 2.4670 -1.0734 -1.3981
Au 1.6071 -1.6626 1.9611
Au 6.2417 -0.3051 -0.2972
Au 5.3818 -0.8942 3.0620
Au 4.3275 -2.6845 0.6368